The following is a PBE calculation of BeTl2I4 after structural relaxation, from Alexandria via LeMat-Bulk.

Its crystal system is monoclinic. The value obtained for the formation energy without anion corrections is -619.5 meV per atom. The value obtained for the density of states at the Fermi level is 0.00 states/eV per cell. Its total energy is -2.7137 eV per atom.

The space group is P2_1/m (No. 11) and the conventional cell measures 7.629, 7.927 and 9.807 Å, with angles of 90.00, 108.74 and 90.00 degrees. The asymmetric unit holds Be at (0.205, 0.250, 0.289), Tl at (0.225, 0.750, 0.545), Tl at (0.267, 0.750, 0.076), I at (0.001, 0.506, 0.771), I at (0.370, 0.250, 0.546) and I at (0.408, 0.250, 0.143).